# CaPm2Pr5Y | Alexandria via LeMat-Bulk | PBE | optimized geometry
data_CaPm2Pr5Y
_chemical_formula_sum 'Ca4 Pm8 Pr20 Y4'
_cell_length_a 5.571
_cell_length_b 22.330
_cell_length_c 10.599
_cell_angle_alpha 90.00
_cell_angle_beta 90.00
_cell_angle_gamma 90.00
_space_group_name_H-M_alt 'C m c 21'
_space_group_IT_number 36
_space_group_name_Hall 'C 2c -2'
loop_
_atom_site_label
_atom_site_fract_x
_atom_site_fract_y
_atom_site_fract_z
_atom_site_occupancy
Ca1 0.000 0.102 0.000 1
Pm1 0.000 0.383 0.235 1
Pm2 0.000 0.383 0.764 1
Pr1 0.000 0.000 0.250 1
Pr2 0.000 0.118 0.499 1
Pr3 0.000 0.221 0.194 1
Pr4 0.000 0.221 0.806 1
Pr5 0.000 0.499 0.000 1
Y1 0.000 0.281 0.500 1
# electronic total energy = -4.4999 eV/atom
# ΔH_f (0 K) = 0.15 eV/atom
# M_tot = 0.00 Bohr magnetons per cell

---

# InCo2Pt | Alexandria via LeMat-Bulk | PBE | optimized geometry
data_InCo2Pt
_chemical_formula_sum 'In1 Co2 Pt1'
_cell_length_a 2.852
_cell_length_b 3.465
_cell_length_c 5.911
_cell_angle_alpha 90.00
_cell_angle_beta 90.00
_cell_angle_gamma 90.00
_space_group_name_H-M_alt 'P m m 2'
_space_group_IT_number 25
_space_group_name_Hall 'P 2 -2'
loop_
_atom_site_label
_atom_site_fract_x
_atom_site_fract_y
_atom_site_fract_z
_atom_site_occupancy
In1 0.000 0.000 0.000 1
Co1 0.000 0.000 0.542 1
Co2 0.500 0.500 0.723 1
Pt1 0.500 0.500 0.288 1
# electronic total energy = -5.7550 eV/atom
# ΔH_f (0 K) = -0.01 eV/atom
# M_tot = 3.20 Bohr magnetons per cell

---

# TbSm2Hg | Alexandria via LeMat-Bulk | PBE | optimized geometry
data_TbSm2Hg
_chemical_formula_sum 'Tb4 Sm8 Hg4'
_cell_length_a 3.707
_cell_length_b 12.564
_cell_length_c 10.356
_cell_angle_alpha 90.00
_cell_angle_beta 90.00
_cell_angle_gamma 90.00
_space_group_name_H-M_alt 'C m c m'
_space_group_IT_number 63
_space_group_name_Hall '-C 2c 2'
loop_
_atom_site_label
_atom_site_fract_x
_atom_site_fract_y
_atom_site_fract_z
_atom_site_occupancy
Tb1 0.000 0.046 0.250 1
Sm1 0.000 0.369 0.040 1
Hg1 0.000 0.244 0.750 1
# electronic total energy = -3.8164 eV/atom
# ΔH_f (0 K) = -0.22 eV/atom
# M_tot = 0.00 Bohr magnetons per cell

---

# Cs2CeYSe4 | Alexandria via LeMat-Bulk | PBE | optimized geometry
data_Cs2CeYSe4
_chemical_formula_sum 'Cs2 Ce1 Y1 Se4'
_cell_length_a 7.548
_cell_length_b 4.359
_cell_length_c 8.740
_cell_angle_alpha 90.00
_cell_angle_beta 106.69
_cell_angle_gamma 90.00
_space_group_name_H-M_alt 'P 1 2/m 1'
_space_group_IT_number 10
_space_group_name_Hall '-P 2y'
loop_
_atom_site_label
_atom_site_fract_x
_atom_site_fract_y
_atom_site_fract_z
_atom_site_occupancy
Cs1 0.000 0.000 0.000 1
Cs2 0.500 0.500 0.000 1
Ce1 0.000 0.500 0.500 1
Y1 0.500 0.000 0.500 1
Se1 0.237 0.000 0.688 1
Se2 0.278 0.500 0.314 1
# electronic total energy = -5.2018 eV/atom
# formation energy (no corrections) = -13.57 eV per formula unit
# M_tot = 1.01 Bohr magnetons per cell